# 1
Density functional theory data (PBE-GGA) for a geometry-optimized RbAg2BiBr8 structure.

Cell lengths 7.217, 7.217, 9.447 Å; angles 112.46, 112.46, 90.00 degrees
Sites, in units of the cell vectors:
Rb1 0.750 0.250 0.500
Ag1 0.500 0.500 0.000
Ag2 0.250 0.750 0.500
Bi1 0.000 0.000 0.000
Br1 0.728 0.852 0.117
Br2 0.389 0.265 0.117
Br3 0.627 0.712 0.679
Br4 0.053 0.968 0.679
Br5 0.032 0.373 0.321
Br6 0.288 0.947 0.321
Br7 0.148 0.611 0.883
Br8 0.735 0.272 0.883

Values from the calculation:
The calculation puts the density of states at the Fermi level at 16.0 states/eV/cell. For the total energy, the calculation gives -30.3 eV for the cell shown. The calculation puts the uncorrected formation energy at -0.528 eV/atom. The value obtained for the volume is 414.1 Å³ per cell. Its magnetic moment is 0.01 μB/f.u.

=====

# 2
Density functional theory data (PBE-GGA) for a geometry-optimized CdSb2As structure.

Cell lengths 4.070, 4.070, 7.704 Å; angles 74.96, 74.96, 59.48 degrees
Sites, in units of the cell vectors:
Sb1 0.005 0.005 0.984
Sb2 0.495 0.495 0.516
As1 0.750 0.750 0.750
Cd1 0.250 0.250 0.250

Values from the calculation:
The calculation puts the density of states at the Fermi level at 2.0 states/eV/cell. For the total energy, the calculation gives -13.5 eV for the cell shown. The calculation puts the uncorrected formation energy at 0.088 eV/atom. The value obtained for the volume is 104.9 Å³ per cell. The value obtained for the energy relative to the lowest polymorph listed for this composition is 0.046 eV per atom. Its magnetic moment is 0.00 μB/f.u.

=====

# 3
Density functional theory data (PBE-GGA) for a geometry-optimized PuFe2GeC structure.

Cell lengths 3.809, 5.656, 6.843 Å; angles 90.00, 90.00, 109.68 degrees
Last column: magnetic moment on the atom in μB.
Sites, in units of the cell vectors:
Pu1 0.449 0.897 0.750  4.89
Pu2 0.551 0.103 0.250  4.89
Fe1 0.163 0.327 0.940  -0.70
Fe2 0.837 0.673 0.060  -0.70
Fe3 0.163 0.327 0.560  -0.70
Fe4 0.837 0.673 0.440  -0.70
Ge1 0.728 0.457 0.750  0.02
Ge2 0.272 0.543 0.250  0.02
C1 0.000 0.000 0.000  0.01
C2 0.000 0.000 0.500  0.01

Values from the calculation:
The calculation puts the density of states at the Fermi level at 23.2 states/eV/cell. For the total energy, the calculation gives -92.5 eV for the cell shown. The value obtained for the volume is 138.8 Å³ per cell. For the formation energy, the calculation gives -0.23 eV/atom. Its magnetic moment is 3.72 μB/f.u.